<one>
Here is an optimized crystal structure of Li2CrSi2O6 from the Alexandria database. Energies are from PBE with a Hubbard U.

Summary:
Its space group is Fdd2, No. 43.

a b c (Å): 10.3452 5.1911 10.4854
angles (deg): 74.08 28.85 77.07
Last column: nearest neighbours and their distance in Å.
Fractional coordinates of all 22 atoms:
Li1 0.0437 0.4563 0.1180  3 O 1.95-1.99
Li2 0.1320 0.8680 0.2063  3 O 1.95-1.99
Li3 0.4563 0.0437 0.3820  3 O 1.95-1.99
Li4 0.8680 0.1320 0.7937  3 O 1.95-1.99
Cr1 0.0404 0.0404 0.9596  4 O 2.01-2.15
Cr2 0.2904 0.2904 0.2096  4 O 2.01-2.15
Si1 0.1808 0.6688 0.4846  4 O 1.62-1.68
Si2 0.5842 0.7654 0.5812  4 O 1.62-1.68
Si3 0.6688 0.1808 0.6658  4 O 1.62-1.68
Si4 0.7654 0.5842 0.0692  4 O 1.62-1.68
O1 0.1339 0.6157 0.3814  1 Si 1.62
O2 0.2100 0.9812 0.4602  1 Si 1.63
O3 0.3810 0.8686 0.6343  1 Si 1.62
O4 0.4467 0.4934 0.3241  2 Si 1.67-1.68
O5 0.4934 0.4467 0.7358  2 Si 1.67-1.68
O6 0.5142 0.9259 0.7566  2 Si 1.67-1.68
O7 0.6157 0.1339 0.8690  1 Si 1.62
O8 0.7898 0.9014 0.0400  1 Si 1.63
O9 0.8686 0.3810 0.1161  1 Si 1.62
O10 0.9014 0.7898 0.2688  1 Si 1.63
O11 0.9259 0.5142 0.8033  2 Si 1.67-1.68
O12 0.9812 0.2100 0.3486  1 Si 1.63

---

<two>
Here is an optimized crystal structure of Li2CrSi2O6 from the Alexandria database. Energies are from PBE with a Hubbard U.

Summary:
Its space group is C2/c, No. 15.

a b c (Å): 5.8735 5.8735 9.1253
angles (deg): 90.47 90.47 118.20
Last column: nearest neighbours and their distance in Å.
Fractional coordinates of all 22 atoms:
Li1 0.0848 0.8195 0.8865  3 O 1.95-2.07
Li2 0.1805 0.9152 0.6135  3 O 1.95-2.07
Li3 0.8195 0.0848 0.3865  3 O 1.95-2.07
Li4 0.9152 0.1805 0.1135  3 O 1.95-2.07
Cr1 0.2566 0.7434 0.2500  4 O 2.08-2.11
Cr2 0.7434 0.2566 0.7500  4 O 2.08-2.11
Si1 0.3012 0.3729 0.8609  4 O 1.62-1.67
Si2 0.3729 0.3012 0.3609  4 O 1.62-1.67
Si3 0.6271 0.6988 0.6391  4 O 1.62-1.67
Si4 0.6988 0.6271 0.1391  4 O 1.62-1.67
O1 0.0024 0.2606 0.9076  1 Si 1.62
O2 0.1478 0.3506 0.2822  1 Si 1.64
O3 0.2606 0.0024 0.4076  1 Si 1.62
O4 0.3506 0.1478 0.7822  1 Si 1.64
O5 0.3774 0.6226 0.7500  2 Si 1.67
O6 0.5000 0.5000 0.0000  2 Si 1.63
O7 0.5000 0.5000 0.5000  2 Si 1.63
O8 0.6226 0.3774 0.2500  2 Si 1.67
O9 0.6494 0.8522 0.2178  1 Si 1.64
O10 0.7394 0.9976 0.5924  1 Si 1.62
O11 0.8522 0.6494 0.7178  1 Si 1.64
O12 0.9976 0.7394 0.0924  1 Si 1.62

---

Sorted by energy, starting with the most stable: <one>, <two>.